1.
This record from Alexandria via LeMat-Bulk describes a geometry-optimized La2SbPb2 structure. The functional is PBE.

Lattice parameters (Å, degrees): 8.3234 8.3234 4.6845 90.00 90.00 90.00
Closest atoms and distances in Å follow each position.
Sites, in units of the cell vectors:
La: 0.1749 0.3251 0.0000  6 Pb 3.27-3.48
La: 0.3251 0.8251 0.0000  6 Pb 3.27-3.48
La: 0.6749 0.1749 0.0000  6 Pb 3.27-3.48
La: 0.8251 0.6749 0.0000  6 Pb 3.27-3.48
Sb: 0.0000 0.0000 0.5000  4 Pb 3.26
Sb: 0.5000 0.5000 0.5000  4 Pb 3.26
Pb: 0.1308 0.6308 0.5000  1 Pb 3.08, 2 Sb 3.26, 2 La 3.27
Pb: 0.3692 0.1308 0.5000  1 Pb 3.08, 2 Sb 3.26, 2 La 3.27
Pb: 0.6308 0.8692 0.5000  1 Pb 3.08, 2 Sb 3.26, 2 La 3.27
Pb: 0.8692 0.3692 0.5000  1 Pb 3.08, 2 Sb 3.26, 2 La 3.27

## Properties
E_form (uncorrected) = -0.5787 eV/atom
SG = P4/mbm, No. 127
M_tot = 0.000 μB per atom
energy above the lowest structure with this stoichiometry = 0.000 eV per atom



2.
This record from Alexandria via LeMat-Bulk describes a geometry-optimized La4SbPb2 structure. The functional is PBE.

Lattice parameters (Å, degrees): 6.1175 6.8433 11.2419 90.00 101.35 90.00
Closest atoms and distances in Å follow each position.
Sites, in units of the cell vectors:
La: 0.1157 0.2500 0.1205  3 Sb 3.26-3.47, 3 Pb 3.28-3.46
La: 0.2249 0.7500 0.4494  1 Sb 3.09, 4 Pb 3.31-3.43
La: 0.3458 0.0190 0.7366  1 La 3.16, 2 Pb 3.41-3.42, 1 Sb 3.45
La: 0.3458 0.4810 0.7366  1 La 3.16, 2 Pb 3.41-3.42, 1 Sb 3.45
La: 0.6542 0.5190 0.2634  1 La 3.16, 2 Pb 3.41-3.42, 1 Sb 3.45
La: 0.6542 0.9810 0.2634  1 La 3.16, 2 Pb 3.41-3.42, 1 Sb 3.45
La: 0.7751 0.2500 0.5506  1 Sb 3.09, 4 Pb 3.31-3.43
La: 0.8843 0.7500 0.8795  3 Sb 3.26-3.47, 3 Pb 3.28-3.46
Sb: 0.0918 0.7500 0.1699  4 La 3.09-3.45, 1 Pb 3.13
Sb: 0.9082 0.2500 0.8301  4 La 3.09-3.45, 1 Pb 3.13
Pb: 0.2321 0.2500 0.4347  7 La 3.31-3.68
Pb: 0.4357 0.7500 0.9977  1 Sb 3.13, 6 La 3.28-3.42
Pb: 0.5643 0.2500 0.0023  1 Sb 3.13, 6 La 3.28-3.42
Pb: 0.7679 0.7500 0.5653  7 La 3.31-3.68

## Properties
E_form (uncorrected) = -0.6076 eV/atom
SG = P2_1/m, No. 11
M_tot = 0.000 μB per atom
energy above the lowest structure with this stoichiometry = 0.043 eV per atom



3.
This record from Alexandria via LeMat-Bulk describes a geometry-optimized La4SbPb2 structure. The functional is PBE.

Lattice parameters (Å, degrees): 7.3498 11.5573 5.7463 90.00 90.00 90.00
Closest atoms and distances in Å follow each position.
Sites, in units of the cell vectors:
La: 0.2321 0.0000 0.0000  4 Pb 3.33-3.53, 2 Sb 3.34, 1 La 3.41
La: 0.2500 0.2500 0.5000  4 Pb 3.42, 2 Sb 3.42, 2 La 3.67
La: 0.2500 0.7500 0.5000  4 Pb 3.42, 2 Sb 3.42, 2 La 3.67
La: 0.2679 0.5000 0.0000  4 Pb 3.33-3.53, 2 Sb 3.34, 1 La 3.41
La: 0.7321 0.5000 0.0000  4 Pb 3.33-3.53, 2 Sb 3.34, 1 La 3.41
La: 0.7500 0.2500 0.5000  4 Pb 3.42, 2 Sb 3.42, 2 La 3.67
La: 0.7500 0.7500 0.5000  4 Pb 3.42, 2 Sb 3.42, 2 La 3.67
La: 0.7679 0.0000 0.0000  4 Pb 3.33-3.53, 2 Sb 3.34, 1 La 3.41
Sb: 0.0000 0.0000 0.5000  8 La 3.34-3.42
Sb: 0.5000 0.5000 0.5000  8 La 3.34-3.42
Pb: 0.0000 0.2676 0.0000  8 La 3.33-3.53, 2 Pb 3.70
Pb: 0.0000 0.7324 0.0000  8 La 3.33-3.53, 2 Pb 3.70
Pb: 0.5000 0.2324 0.0000  8 La 3.33-3.53, 2 Pb 3.70
Pb: 0.5000 0.7676 0.0000  8 La 3.33-3.53, 2 Pb 3.70

## Properties
E_form (uncorrected) = -0.6506 eV/atom
SG = Cmmm, No. 65
M_tot = 0.000 μB per atom
energy above the lowest structure with this stoichiometry = 0.000 eV per atom



4.
This record from Alexandria via LeMat-Bulk describes a geometry-optimized La2SbPb structure. The functional is PBE.

Lattice parameters (Å, degrees): 4.5005 4.5005 24.3606 90.00 90.00 120.00
Closest atoms and distances in Å follow each position.
Sites, in units of the cell vectors:
La: 0.0000 0.0000 0.2454  3 Sb 3.23, 3 Pb 3.37
La: 0.0000 0.0000 0.7546  3 Sb 3.23, 3 Pb 3.37
La: 0.3333 0.6667 0.4212  3 Sb 3.23, 3 Pb 3.37
La: 0.3333 0.6667 0.9121  3 Sb 3.23, 3 Pb 3.37
La: 0.6667 0.3333 0.0879  3 Sb 3.23, 3 Pb 3.37
La: 0.6667 0.3333 0.5788  3 Sb 3.23, 3 Pb 3.37
Sb: 0.0000 0.0000 0.5000  6 La 3.23
Sb: 0.3333 0.6667 0.1667  6 La 3.23
Sb: 0.6667 0.3333 0.8333  6 La 3.23
Pb: 0.0000 0.0000 0.0000  6 La 3.37
Pb: 0.3333 0.6667 0.6667  6 La 3.37
Pb: 0.6667 0.3333 0.3333  6 La 3.37

## Properties
E_form (uncorrected) = -0.8672 eV/atom
SG = R-3m, No. 166
M_tot = 0.000 μB per atom